Below is a relaxed structure of CdInCoSn2, with properties calculated at the PBE-GGA level.

The electronic total energy comes out at -3.68 eV/atom. Its excess energy over the best structure of this formula in the dataset is 0.0 meV/atom.

Cell: 4.9479 4.9479 5.0177 Å, 90.00 90.00 90.00°
Space group P4/mmm (No. 123)
Inequivalent atoms, fractional coordinates:
Cd1 0.0000 0.0000 0.0000 [1 per cell]
In1 0.5000 0.5000 0.0000 [1 per cell]
Co1 0.5000 0.5000 0.5000 [1 per cell]
Sn1 0.0000 0.5000 0.5000 [2 per cell]